Below is LiCaLa2 at its PBEsol-relaxed geometry, with properties calculated at the meta-GGA SCAN level.

Unit cell a=3.647 b=5.660 c=7.000 alpha=113.85 beta=105.10 gamma=90.00
Last column: magnetic moment on the atom in μB.
Fractional coordinates of all 4 atoms:
Li 0.500 0.000 0.000  0.01
La 0.223 0.223 0.446  0.12
La 0.777 0.777 0.554  0.12
Ca 0.000 0.500 0.000  0.00

crystal system = orthorhombic
formation energy = 39 meV per atom
volume = 31.7 Å³ per atom
distance to the lowest polymorph of the same formula = 0.0000 eV/atom

***

Below is Li2CaLa at its PBEsol-relaxed geometry, with properties calculated at the meta-GGA SCAN level.

Unit cell a=3.776 b=3.776 c=8.072 alpha=90.00 beta=90.00 gamma=90.00
Last column: magnetic moment on the atom in μB.
Fractional coordinates of all 4 atoms:
Li 0.000 0.000 0.252  0.00
La 0.500 0.500 0.500  0.12
Ca 0.500 0.500 0.000  -0.01
Li 0.000 0.000 0.748  0.00

crystal system = tetragonal
formation energy = 73 meV per atom
volume = 28.8 Å³ per atom
distance to the lowest polymorph of the same formula = 0.0145 eV/atom

***

Below is Li2CaLa at its PBEsol-relaxed geometry, with properties calculated at the meta-GGA SCAN level.

Unit cell a=3.682 b=3.682 c=8.433 alpha=90.00 beta=90.00 gamma=90.00
Last column: magnetic moment on the atom in μB.
Fractional coordinates of all 4 atoms:
Ca 0.000 0.000 0.463  0.01
Li 0.000 0.000 0.046  0.00
Li 0.500 0.500 0.201  0.00
La 0.500 0.500 0.790  0.14

crystal system = tetragonal
formation energy = 58 meV per atom
volume = 28.6 Å³ per atom
distance to the lowest polymorph of the same formula = 0.0000 eV/atom

***

Below is Li2CaLa at its PBEsol-relaxed geometry, with properties calculated at the meta-GGA SCAN level.

Unit cell a=3.543 b=5.695 c=6.592 alpha=115.59 beta=105.59 gamma=90.00
Last column: magnetic moment on the atom in μB.
Fractional coordinates of all 4 atoms:
Li 0.718 0.218 0.436  0.01
Li 0.032 0.032 0.063  0.01
Ca 0.477 0.477 0.955  0.01
La 0.273 0.773 0.546  0.27

crystal system = orthorhombic
formation energy = 86 meV per atom
volume = 28.6 Å³ per atom
distance to the lowest polymorph of the same formula = 0.0276 eV/atom

***

Below is LiCaLa2 at its PBEsol-relaxed geometry, with properties calculated at the meta-GGA SCAN level.

Unit cell a=3.641 b=3.641 c=9.711 alpha=90.00 beta=90.00 gamma=90.00
Fractional coordinates of all 4 atoms:
Li 0.000 0.000 0.495
La 0.500 0.500 0.268
La 0.000 0.000 0.016
Ca 0.500 0.500 0.721

crystal system = tetragonal
formation energy = 41 meV per atom
volume = 32.2 Å³ per atom
distance to the lowest polymorph of the same formula = 0.0020 eV/atom

***

Below is LiCaLa at its PBEsol-relaxed geometry, with properties calculated at the meta-GGA SCAN level.

Unit cell a=5.303 b=5.303 c=5.303 alpha=60.00 beta=60.00 gamma=60.00
Fractional coordinates of all 3 atoms:
Li 0.250 0.250 0.250
La 0.500 0.500 0.500
Ca 0.000 0.000 0.000

crystal system = cubic
formation energy = 385 meV per atom
volume = 35.2 Å³ per atom

***

Below is Ca2LaMg at its PBEsol-relaxed geometry, with properties calculated at the meta-GGA SCAN level.

Unit cell a=3.677 b=3.677 c=11.919 alpha=81.13 beta=81.13 gamma=60.00
Last column: magnetic moment on the atom in μB.
Fractional coordinates of all 4 atoms:
Ca 0.744 0.744 0.768  -0.01
La 0.500 0.500 0.500  0.10
Ca 0.256 0.256 0.232  -0.01
Mg 0.000 0.000 0.000  -0.01

crystal system = trigonal
formation energy = 78 meV per atom
volume = 34.3 Å³ per atom

***

Below is Ca2LaMg at its PBEsol-relaxed geometry, with properties calculated at the meta-GGA SCAN level.

Unit cell a=5.750 b=5.750 c=5.750 alpha=60.00 beta=60.00 gamma=60.00
Fractional coordinates of all 4 atoms:
La 0.500 0.500 0.500
Ca 0.000 0.000 0.000
Mg 0.250 0.250 0.250
Ca 0.750 0.750 0.750

crystal system = cubic
formation energy = 38 meV per atom
volume = 33.6 Å³ per atom

***

Below is CaLaMg2 at its PBEsol-relaxed geometry, with properties calculated at the meta-GGA SCAN level.

Unit cell a=5.538 b=5.538 c=5.538 alpha=60.00 beta=60.00 gamma=60.00
Fractional coordinates of all 4 atoms:
La 0.000 0.000 0.000
Mg 0.750 0.750 0.750
Ca 0.500 0.500 0.500
Mg 0.250 0.250 0.250

crystal system = cubic
formation energy = -114 meV per atom
volume = 30.0 Å³ per atom
distance to the lowest polymorph of the same formula = 0.0000 eV/atom

***

Below is Ca2LaMg at its PBEsol-relaxed geometry, with properties calculated at the meta-GGA SCAN level.

Unit cell a=3.921 b=5.882 c=6.914 alpha=115.17 beta=106.47 gamma=90.00
Last column: magnetic moment on the atom in μB.
Fractional coordinates of all 4 atoms:
Mg 0.000 0.500 0.000  0.00
Ca 0.725 0.725 0.450  -0.04
Ca 0.275 0.275 0.550  -0.04
La 0.500 0.000 0.000  -0.27

crystal system = orthorhombic
formation energy = 22 meV per atom
volume = 34.3 Å³ per atom

***

Below is CaLaMg at its PBEsol-relaxed geometry, with properties calculated at the meta-GGA SCAN level.

Unit cell a=3.682 b=3.682 c=7.665 alpha=103.90 beta=103.90 gamma=90.00
Last column: magnetic moment on the atom in μB.
Fractional coordinates of all 3 atoms:
La 0.682 0.682 0.365  -0.12
Mg 0.333 0.333 0.666  0.00
Ca 0.985 0.985 0.969  0.01

crystal system = tetragonal
formation energy = -28 meV per atom
volume = 32.6 Å³ per atom

***

Below is CaLaMg2 at its PBEsol-relaxed geometry, with properties calculated at the meta-GGA SCAN level.

Unit cell a=3.643 b=5.696 c=6.709 alpha=115.12 beta=105.75 gamma=90.00
Last column: magnetic moment on the atom in μB.
Fractional coordinates of all 4 atoms:
Mg 0.272 0.772 0.543  0.01
Ca 0.518 0.518 0.037  0.02
La 0.732 0.232 0.464  0.23
Mg 0.978 0.978 0.956  0.00

crystal system = orthorhombic
formation energy = -39 meV per atom
volume = 30.1 Å³ per atom
distance to the lowest polymorph of the same formula = 0.0750 eV/atom